## Pa6ReN12 (PBE-GGA)

Data for Pa6ReN12 after structural relaxation.

Volume ... 267.9 Å³ per cell
M_tot ... 1.1 μB/cell
Formation energy (no corrections) ... -1.4132 eV/atom
ρ ... 10.79 g cm⁻³

Geometry as POSCAR:
```
Pa6ReN12
1.0
6.5272 0.0134 0.0161
-0.9763 6.4538 0.0161
-0.9763 -1.1375 6.3528
N Pa Re
12 6 1
Direct
0.8253 0.5637 0.4055
0.0509 0.6953 0.9339
0.6953 0.9339 0.0509
0.9491 0.3047 0.0661
0.1747 0.4363 0.5945
0.4363 0.5945 0.1747
0.3047 0.0661 0.9491
0.9339 0.0509 0.6953
0.4055 0.8253 0.5637
0.5637 0.4055 0.8253
0.5945 0.1747 0.4363
0.0661 0.9491 0.3047
0.1349 0.6018 0.2917
0.8651 0.3982 0.7083
0.6018 0.2917 0.1349
0.3982 0.7083 0.8651
0.7083 0.8651 0.3982
0.2917 0.1349 0.6018
0.0000 0.0000 0.0000
```